# TbMgTc4, optimized geometry, DFT GGA-PBE
# - DOS(E_F): 17.27 states/eV per cell
# - DFT formation energy: 0.04 eV per formula unit
data_TbMgTc4
_space_group_name_H-M_alt 'F -4 3 m'
_space_group_IT_number 216
_space_group_name_Hall 'F -4 2 3'
_cell_length_a 7.521
_cell_length_b 7.521
_cell_length_c 7.521
_cell_angle_alpha 90.00
_cell_angle_beta 90.00
_cell_angle_gamma 90.00
loop_
_atom_site_label
_atom_site_type_symbol
_atom_site_fract_x
_atom_site_fract_y
_atom_site_fract_z
Tb1 Tb 0.000 0.000 0.000
Mg1 Mg 0.250 0.250 0.750
Tc1 Tc 0.125 0.125 0.375

# BaNdNi2Sb2, optimized geometry, DFT GGA-PBE
# - DOS(E_F): 5.02 states/eV per cell
# - Formation energy (no corrections): -0.7330 eV/atom
data_BaNdNi2Sb2
_space_group_name_H-M_alt 'P -3 m 1'
_space_group_IT_number 164
_space_group_name_Hall '-P 3 2"'
_cell_length_a 4.4085
_cell_length_b 4.4085
_cell_length_c 9.1581
_cell_angle_alpha 90.00
_cell_angle_beta 90.00
_cell_angle_gamma 120.00
loop_
_atom_site_label
_atom_site_type_symbol
_atom_site_fract_x
_atom_site_fract_y
_atom_site_fract_z
Ba1 Ba 0.0000 0.0000 0.0000
Nd1 Nd 0.0000 0.0000 0.5000
Ni1 Ni 0.3333 0.6667 0.7110
Sb1 Sb 0.3333 0.6667 0.2714

| no. | total DFT energy (no corrections) (eV/atom) |
| --- | --- |
| 1 | -7.942 |
| 2 | -5.149 |